Record 1
VASP calculation (PBE) on crystalline Ti2NbRe at its relaxed geometry.

Cell lengths 3.110, 3.110, 6.806 Å; angles 90.00, 90.00, 90.00 degrees
Fractional positions:
Ti 0.000 0.000 0.222
Ti 0.000 0.000 0.778
Nb 0.500 0.500 0.500
Re 0.500 0.500 0.000

Total moment: 0.0 μB per formula unit
Formation energy from the elements: -18.9 kJ per mole of atoms

=====

Record 2
VASP calculation (PBE) on crystalline TbSc2Pb at its relaxed geometry.

Cell lengths 5.219, 5.219, 5.219 Å; angles 60.00, 60.00, 60.00 degrees
Fractional positions:
Tb 0.000 0.000 0.000
Sc 0.250 0.250 0.250
Sc 0.750 0.750 0.750
Pb 0.500 0.500 0.500

Excess energy over the best structure of this formula in the dataset: 238.9 meV per atom
Total moment: 1.8 μB per formula unit
Formation energy from the elements: -9.2 kJ per mole of atoms

=====

Record 3
VASP calculation (PBE) on crystalline Ge2CF at its relaxed geometry.

Cell lengths 5.430, 5.430, 5.430 Å; angles 113.63, 113.63, 101.44 degrees
Fractional positions:
Ge 0.066 0.625 0.941
Ge 0.375 0.316 0.441
Ge 0.684 0.125 0.059
Ge 0.875 0.934 0.559
C 0.000 0.000 0.000
C 0.750 0.250 0.500
F 0.250 0.750 0.500
F 0.500 0.500 0.000

Excess energy over the best structure of this formula in the dataset: 0.0 meV per atom
Total moment: 0.0 μB per formula unit

=====

Record 4
VASP calculation (PBE) on crystalline BaLiAlSe3 at its relaxed geometry.

Cell lengths 7.568, 7.568, 10.343 Å; angles 90.00, 90.00, 148.27 degrees
Fractional positions:
Ba 0.244 0.756 0.750
Ba 0.756 0.244 0.250
Li 0.500 0.500 0.000
Li 0.500 0.500 0.500
Al 0.041 0.959 0.250
Al 0.959 0.041 0.750
Se 0.133 0.867 0.064
Se 0.133 0.867 0.436
Se 0.442 0.558 0.250
Se 0.558 0.442 0.750
Se 0.867 0.133 0.564
Se 0.867 0.133 0.936

Total moment: 0.0 μB per formula unit

=====

Q: Which total DFT energy (no corrections) values were calculated for the entries above? A: -39.1 -21.4 -38.9 -52.4, in eV for the cell shown.
Q: Which density of states at the Fermi level values were calculated for the entries above? A: 0.98 1.33 0.60 0.00, in states/eV/atom.